# YCu3Te

A relaxed structure of YCu3Te (GGA-PBE, Alexandria via LeMat-Bulk).

a b c (Å): 5.069 5.069 5.069
angles (deg): 90.00 90.00 90.00
Sites, in units of the cell vectors:
Y  0.000  0.000  0.000
Cu  0.000  0.000  0.500
Cu  0.000  0.500  0.000
Cu  0.500  0.000  0.000
Te  0.500  0.500  0.500

Summary:
mass density	5.19	Mg/m³
E_form (uncorrected)	1086	meV per atom
distance to the lowest polymorph of the same formula	623	meV/atom
SG	Pm-3m
total moment	0.000	μB/f.u.